(1)
The following is a PBE-GGA calculation of a geometry-optimized Pr2MnGe4Rh3 structure, from Alexandria via LeMat-Bulk. Values from VASP.

Results
Formation energy from the elements (eV/atom): -0.7354
Energy (eV for the cell shown): -66.6
V (Å³/atom): 18.74

```
&SYSTEM
  ibrav = 0, nat = 10, ntyp = 4
/
ATOMIC_SPECIES
Pr 140.91 Pr.upf
Mn 54.94 Mn.upf
Ge 72.64 Ge.upf
Rh 102.91 Rh.upf
CELL_PARAMETERS angstrom
4.2613 0.0000 0.0000
0.0000 4.2613 0.0000
0.0000 0.0000 10.3212
ATOMIC_POSITIONS crystal
Pr 0.0000 0.5000 0.2444
Pr 0.5000 0.0000 0.7556
Mn 0.0000 0.0000 0.5000
Ge 0.0000 0.0000 0.0000
Ge 0.0000 0.5000 0.6341
Ge 0.5000 0.0000 0.3659
Ge 0.5000 0.5000 0.0000
Rh 0.0000 0.5000 0.8754
Rh 0.5000 0.0000 0.1246
Rh 0.5000 0.5000 0.5000
```



(2)
The following is a PBE-GGA calculation of a geometry-optimized Ba2ZrS2O2 structure, from Alexandria via LeMat-Bulk. Values from VASP.

Results
E_form (uncorrected) (kJ per mole of atoms): -247
Energy (eV for the cell shown): -48.5
V (Å³/atom): 21.82

```
&SYSTEM
  ibrav = 0, nat = 7, ntyp = 4
/
ATOMIC_SPECIES
Ba 137.33 Ba.upf
Zr 91.22 Zr.upf
S 32.06 S.upf
O 16.00 O.upf
CELL_PARAMETERS angstrom
-2.1853 2.1853 7.9961
2.1853 -2.1853 7.9961
2.1853 2.1853 -7.9961
ATOMIC_POSITIONS crystal
Ba 0.1328 0.1328 0.0000
Ba 0.8672 0.8672 0.0000
Zr 0.5000 0.5000 0.0000
S 0.3366 0.3366 0.0000
S 0.6634 0.6634 0.0000
O 0.0000 0.5000 0.5000
O 0.5000 0.0000 0.5000
```



(3)
The following is a PBE-GGA calculation of a geometry-optimized As2RuCBr structure, from Alexandria via LeMat-Bulk. Values from VASP.

Results
Relative energy among the computed polymorphs (meV per atom): 0
E_form (uncorrected) (kJ per mole of atoms): 136
Energy (eV for the cell shown): -22.4
V (Å³/atom): 15.99

```
&SYSTEM
  ibrav = 0, nat = 5, ntyp = 4
/
ATOMIC_SPECIES
As 74.92 As.upf
Ru 101.07 Ru.upf
C 12.01 C.upf
Br 79.90 Br.upf
CELL_PARAMETERS angstrom
4.2185 0.0000 0.0000
0.0000 4.2185 0.0000
0.0000 0.0000 4.4921
ATOMIC_POSITIONS crystal
As 0.0000 0.5000 0.0000
As 0.5000 0.0000 0.0000
Ru 0.0000 0.0000 0.5000
C 0.5000 0.5000 0.0000
Br 0.5000 0.5000 0.5000
```



(4)
The following is a PBE-GGA calculation of a geometry-optimized ThHg2F11 structure, from Alexandria via LeMat-Bulk. Values from VASP.

Results
E_form (uncorrected) (kJ per mole of atoms): -198
Energy (eV for the cell shown): -114.8
V (Å³/atom): 18.27

```
&SYSTEM
  ibrav = 0, nat = 28, ntyp = 3
/
ATOMIC_SPECIES
Th 232.04 Th.upf
Hg 200.59 Hg.upf
F 19.00 F.upf
CELL_PARAMETERS angstrom
-4.3638 5.2768 5.5539
4.3638 -5.2768 5.5539
4.3638 5.2768 -5.5539
ATOMIC_POSITIONS crystal
Th 0.2500 0.2500 0.0000
Th 0.7500 0.7500 0.0000
Hg 0.2126 0.7026 0.9152
Hg 0.2874 0.2026 0.4900
Hg 0.7126 0.7974 0.5100
Hg 0.7874 0.2974 0.0848
F 0.0000 0.5000 0.5000
F 0.0258 0.9637 0.2663
F 0.0486 0.3290 0.1122
F 0.1533 0.4277 0.5809
F 0.1974 0.4637 0.9379
F 0.2169 0.9364 0.8878
F 0.2831 0.1710 0.7196
F 0.3026 0.2406 0.2663
F 0.3467 0.9277 0.2744
F 0.4514 0.5636 0.2804
F 0.4742 0.7406 0.9379
F 0.5000 0.0000 0.5000
F 0.5258 0.2594 0.0621
F 0.5486 0.4364 0.7196
F 0.6533 0.0723 0.7256
F 0.6974 0.7594 0.7337
F 0.7169 0.8290 0.2804
F 0.7831 0.0636 0.1122
F 0.8026 0.5363 0.0621
F 0.8467 0.5723 0.4191
F 0.9514 0.6710 0.8878
F 0.9742 0.0363 0.7337
```



(5)
The following is a PBE-GGA calculation of a geometry-optimized NdCuPt structure, from Alexandria via LeMat-Bulk. Values from VASP.

Results
Formation energy from the elements (eV/atom): -0.7237
Relative energy among the computed polymorphs (meV per atom): 25
Energy (eV for the cell shown): -17.1
V (Å³/atom): 20.94

```
&SYSTEM
  ibrav = 0, nat = 3, ntyp = 3
/
ATOMIC_SPECIES
Nd 144.24 Nd.upf
Cu 63.55 Cu.upf
Pt 195.08 Pt.upf
CELL_PARAMETERS angstrom
4.3949 0.0000 0.0000
-2.1974 3.8061 0.0000
0.0000 0.0000 3.7557
ATOMIC_POSITIONS crystal
Nd 0.0000 0.0000 0.0000
Cu 0.3333 0.6667 0.5000
Pt 0.6667 0.3333 0.5000
```



(6)
The following is a PBE-GGA calculation of a geometry-optimized BaCd3Pd structure, from Alexandria via LeMat-Bulk. Values from VASP.

Results
Formation energy from the elements (eV/atom): -0.3520
Relative energy among the computed polymorphs (meV per atom): 20
Energy (eV for the cell shown): -23.2
V (Å³/atom): 26.51

```
&SYSTEM
  ibrav = 0, nat = 10, ntyp = 3
/
ATOMIC_SPECIES
Ba 137.33 Ba.upf
Cd 112.41 Cd.upf
Pd 106.42 Pd.upf
CELL_PARAMETERS angstrom
3.4312 -6.5452 0.0000
3.4312 6.5452 0.0000
0.0000 0.0000 5.9025
ATOMIC_POSITIONS crystal
Ba 0.1135 0.8865 0.7500
Ba 0.8865 0.1135 0.2500
Cd 0.1373 0.4091 0.7500
Cd 0.3134 0.6866 0.2500
Cd 0.4091 0.1373 0.2500
Cd 0.5909 0.8627 0.7500
Cd 0.6866 0.3134 0.7500
Cd 0.8627 0.5909 0.2500
Pd 0.5000 0.5000 0.0000
Pd 0.5000 0.5000 0.5000
```



(7)
The following is a PBE-GGA calculation of a geometry-optimized BaSr2Y structure, from Alexandria via LeMat-Bulk. Values from VASP.

Results
Formation energy from the elements (eV/atom): 0.1691
Relative energy among the computed polymorphs (meV per atom): 21
Energy (eV for the cell shown): -11.1
V (Å³/atom): 48.47

```
&SYSTEM
  ibrav = 0, nat = 4, ntyp = 3
/
ATOMIC_SPECIES
Ba 137.33 Ba.upf
Sr 87.62 Sr.upf
Y 88.91 Y.upf
CELL_PARAMETERS angstrom
2.0416 1.1787 13.4279
-2.0416 1.1787 13.4279
0.0000 -2.3574 13.4279
ATOMIC_POSITIONS crystal
Ba 0.0000 0.0000 0.0000
Sr 0.2424 0.2424 0.2424
Sr 0.7576 0.7576 0.7576
Y 0.5000 0.5000 0.5000
```



(8)
The following is a PBE-GGA calculation of a geometry-optimized KTlPbCl4 structure, from Alexandria via LeMat-Bulk. Values from VASP.

Results
E_form (uncorrected) (kJ per mole of atoms): -125
Energy (eV for the cell shown): -23.6
V (Å³/atom): 37.00

```
&SYSTEM
  ibrav = 0, nat = 7, ntyp = 4
/
ATOMIC_SPECIES
K 39.10 K.upf
Tl 204.38 Tl.upf
Pb 207.20 Pb.upf
Cl 35.45 Cl.upf
CELL_PARAMETERS angstrom
-2.8326 2.8326 8.0690
2.8326 -2.8326 8.0690
2.8326 2.8326 -8.0690
ATOMIC_POSITIONS crystal
K 0.0000 0.0000 0.0000
Tl 0.7201 0.7201 0.0000
Pb 0.3640 0.3640 0.0000
Cl 0.1897 0.1897 0.0000
Cl 0.3787 0.8787 0.5000
Cl 0.5459 0.5459 0.0000
Cl 0.8787 0.3787 0.5000
```



Number 3 is which compound?
As2RuCBr



Number 4 is which compound?
ThHg2F11